SmGaRu2C after structural relaxation. Source: Alexandria, functional PBE.

Computed properties:
The calculation puts the total energy at -74.80 eV per cell. Its crystal system is orthorhombic. Its energy of formation is -0.38 eV per atom. As for the space-group type: No. 63.

Cell and atoms, written as POSCAR:
```
SmGaRu2C
1.0
2.002 -5.557 0.000
2.002 5.557 0.000
0.000 0.000 7.339
Sm Ga Ru C
2 2 4 2
direct
0.048 0.952 0.750
0.952 0.048 0.250
0.229 0.771 0.250
0.771 0.229 0.750
0.336 0.664 0.558
0.336 0.664 0.942
0.664 0.336 0.058
0.664 0.336 0.442
0.500 0.500 0.000
0.500 0.500 0.500
```